Arrangement i

YBeAs2Br | PBE | relaxed

Cell: 4.460 4.460 5.290 Å, 90.00 90.00 90.00°
Space group P4/mmm (No. 123)
Unique sites:
Y  0.000  0.000  0.000 (multiplicity 1)
Be  0.500  0.500  0.500 (multiplicity 1)
As  0.000  0.500  0.500 (multiplicity 2)
Br  0.500  0.500  0.000 (multiplicity 1)

The calculation puts the total magnetic moment at 0.00 μB/cell.

***

Arrangement ii

YBeAs2Br | PBE | relaxed

Cell: 5.548 5.548 5.458 Å, 90.00 90.00 90.00°
Space group P4/mmm (No. 123)
Unique sites:
Y  0.000  0.000  0.000 (multiplicity 1)
Be  0.500  0.500  0.500 (multiplicity 1)
As  0.000  0.500  0.000 (multiplicity 2)
Br  0.000  0.000  0.500 (multiplicity 1)

The calculation puts the total magnetic moment at 1.16 μB/cell.

***

arrangement i ends up most stable, edging out the next structure by 827 meV/atom.

***

Arrangement i

ZrBeAs2Br | PBE | relaxed

Cell: 5.172 5.172 4.901 Å, 90.00 90.00 90.00°
Space group P4/mmm (No. 123)
Unique sites:
Zr  0.000  0.000  0.000 (multiplicity 1)
Be  0.500  0.500  0.000 (multiplicity 1)
As  0.000  0.500  0.500 (multiplicity 2)
Br  0.000  0.000  0.500 (multiplicity 1)

The calculation puts the total magnetic moment at 0.00 μB/cell.

***

Arrangement ii

ZrBeAs2Br | PBE | relaxed

Cell: 4.450 4.450 4.950 Å, 90.00 90.00 90.00°
Space group P4/mmm (No. 123)
Unique sites:
Zr  0.000  0.000  0.000 (multiplicity 1)
Be  0.500  0.500  0.500 (multiplicity 1)
As  0.000  0.500  0.500 (multiplicity 2)
Br  0.500  0.500  0.000 (multiplicity 1)

The calculation puts the total magnetic moment at 0.37 μB/cell.

***

arrangement ii ends up most stable, edging out the next structure by 1170 meV/atom.

***

Arrangement i

Be3AsC | PBE | relaxed

Cell: 3.679 3.679 3.679 Å, 90.00 90.00 90.00°
Space group Pm-3m (No. 221)
Unique sites:
Be  0.000  0.000  0.500 (multiplicity 3)
As  0.500  0.500  0.500 (multiplicity 1)
C  0.000  0.000  0.000 (multiplicity 1)

The calculation puts the total magnetic moment at 0.00 μB/cell.

***

Arrangement ii

Be3AsC | PBE | relaxed

Cell: 4.135 4.135 4.135 Å, 90.00 90.00 90.00°
Space group Pm-3m (No. 221)
Unique sites:
Be  0.000  0.000  0.500 (multiplicity 3)
As  0.000  0.000  0.000 (multiplicity 1)
C  0.500  0.500  0.500 (multiplicity 1)

The calculation puts the total magnetic moment at 1.00 μB/cell.

***

arrangement i ends up most stable, edging out the next structure by 1536 meV/atom.

***

Arrangement i

Sc2BeAsC | PBE | relaxed

Cell: 5.090 5.090 3.844 Å, 90.00 90.00 90.00°
Space group P4/mmm (No. 123)
Unique sites:
Sc  0.000  0.500  0.000 (multiplicity 2)
Be  0.000  0.000  0.500 (multiplicity 1)
As  0.500  0.500  0.000 (multiplicity 1)
C  0.500  0.500  0.500 (multiplicity 1)

The calculation puts the total magnetic moment at 0.00 μB/cell.

***

Arrangement ii

Sc2BeAsC | PBE | relaxed

Cell: 4.580 4.580 3.504 Å, 90.00 90.00 90.00°
Space group P4/mmm (No. 123)
Unique sites:
Sc  0.000  0.500  0.000 (multiplicity 2)
Be  0.000  0.000  0.500 (multiplicity 1)
As  0.500  0.500  0.500 (multiplicity 1)
C  0.000  0.000  0.000 (multiplicity 1)

The calculation puts the total magnetic moment at 0.00 μB/cell.

***

arrangement ii ends up most stable, edging out the next structure by 1653 meV/atom.